# 1
La3FeSn: optimized geometry, PBE-GGA.

a b c (Å): 5.221 5.276 5.275
angles (deg): 90.00 90.07 90.00
Fractional positions:
La1 0.000 0.000 0.000
La2 0.000 0.500 0.500
La3 0.491 0.500 0.999
Fe1 0.039 0.500 0.996
Sn1 0.505 0.000 0.499

# 2
LaTbFe: optimized geometry, PBE-GGA.

## Properties
Energy above the most stable polymorph in this dataset = 0.000 eV per atom
ΔE_f = 0.212 eV/atom

a b c (Å): 6.744 6.744 6.744
angles (deg): 90.00 90.00 90.00
Fractional positions:
La1 0.000 0.000 0.000
La2 0.000 0.500 0.500
La3 0.500 0.000 0.500
La4 0.500 0.500 0.000
Tb1 0.000 0.000 0.500
Tb2 0.000 0.500 0.000
Tb3 0.500 0.000 0.000
Tb4 0.500 0.500 0.500
Fe1 0.250 0.250 0.250
Fe2 0.250 0.750 0.750
Fe3 0.750 0.250 0.750
Fe4 0.750 0.750 0.250

# 3
LaThFe: optimized geometry, PBE-GGA.

## Properties
Energy above the most stable polymorph in this dataset = 0.000 eV per atom
ΔE_f = 0.207 eV/atom

a b c (Å): 6.833 6.833 6.833
angles (deg): 90.00 90.00 90.00
Fractional positions:
La1 0.000 0.000 0.000
La2 0.000 0.500 0.500
La3 0.500 0.000 0.500
La4 0.500 0.500 0.000
Th1 0.000 0.000 0.500
Th2 0.000 0.500 0.000
Th3 0.500 0.000 0.000
Th4 0.500 0.500 0.500
Fe1 0.250 0.250 0.250
Fe2 0.250 0.750 0.750
Fe3 0.750 0.250 0.750
Fe4 0.750 0.750 0.250

In eV/atom, the final energy values for the records above are, in order, -5.807, -5.742, -6.674.